Computed, not measured: ScGaI2N at its PBEsol-relaxed geometry at the SCAN level of DFT.

Unit cell a=3.536 b=5.743 c=5.743 alpha=90.00 beta=90.00 gamma=90.00
Element x y z (fractional)
Sc 0.500 0.500 0.500
Ga 0.000 0.000 0.000
I 0.000 0.000 0.500
I 0.000 0.500 0.000
N 0.500 0.000 0.000

Calculated values
* E_tot: -112.51 eV for the cell shown
* Fermi-level density of states: 0.434 states/eV per atom
* uncorrected formation energy: 0.169 eV/atom


Computed, not measured: ZrGaI2N at its PBEsol-relaxed geometry at the SCAN level of DFT.

Unit cell a=3.899 b=6.064 c=6.064 alpha=90.00 beta=90.00 gamma=90.00
Element x y z (fractional)
Ga 0.500 0.500 0.500
N 0.000 0.000 0.000
I 0.000 0.500 0.000
I 0.000 0.000 0.500
Zr 0.500 0.000 0.000

Calculated values
* E_tot: -128.98 eV for the cell shown
* Fermi-level density of states: 0.389 states/eV per atom
* uncorrected formation energy: 0.167 eV/atom


- The lowest E_tot belongs to which entry?
  ZrGaI2N